# ReHAu2 (PBE-GGA, optimized geometry)
# Excess energy over the best structure of this formula in the dataset: 1.39 eV/f.u.
# N(E_F): 0.569 states/eV per atom
data_ReHAu2
_symmetry_space_group_name_H-M 'F m -3 m'
_symmetry_Int_Tables_number 225
_symmetry_space_group_name_Hall '-F 4 2 3'
_cell_length_a 6.2691
_cell_length_b 6.2691
_cell_length_c 6.2691
_cell_angle_alpha 90.00
_cell_angle_beta 90.00
_cell_angle_gamma 90.00
loop_
_atom_site_label
_atom_site_fract_x
_atom_site_fract_y
_atom_site_fract_z
_atom_site_occupancy
Re1 0.0000 0.0000 0.0000 1
H1 0.0000 0.0000 0.5000 1
Au1 0.2500 0.2500 0.2500 1